[1]
Below is an optimized crystal structure of Sm2Sc2Tl7, with properties calculated at the PBE level.

## Properties
Calculated total energy in eV per cell: -37.7
SG: Cmmm
DOS(E_F) in states/eV/cell: 9.94

Cell: 7.0836 6.8407 7.0836 Å, 90.00 99.58 90.00°
Closest atoms and distances in Å follow each position.
Fractional coordinates of all 11 atoms:
Sm1 0.8138 0.5000 0.8138  6 Tl 3.19-3.27, 1 Sm 3.41
Sm2 0.1862 0.5000 0.1862  6 Tl 3.19-3.27, 1 Sm 3.41
Sc1 0.7181 0.0000 0.2819  7 Tl 2.95-3.05
Sc2 0.2819 0.0000 0.7181  7 Tl 2.95-3.05
Tl1 0.9998 0.2687 0.5003  2 Sc 2.95, 1 Tl 3.17, 2 Sm 3.19
Tl2 0.5003 0.7313 0.9998  2 Sc 2.95, 1 Tl 3.17, 2 Sm 3.19
Tl3 0.0002 0.7313 0.4997  2 Sc 2.95, 1 Tl 3.17, 2 Sm 3.19
Tl4 0.4997 0.2687 0.0002  2 Sc 2.95, 1 Tl 3.17, 2 Sm 3.19
Tl5 0.0000 0.0000 0.0000  2 Sc 3.05
Tl6 0.5002 0.7277 0.4998  2 Sc 3.00-3.01, 1 Tl 3.11, 2 Sm 3.27
Tl7 0.4998 0.2723 0.5002  2 Sc 3.00-3.01, 1 Tl 3.11, 2 Sm 3.27

[2]
Below is an optimized crystal structure of OsRu3F, with properties calculated at the PBE level.

## Properties
Calculated total energy in eV per cell: -35.2
Formation energy from raw total energies in eV per atom: 1.15
ΔE to the lowest computed polymorph in eV per atom: 0.000
SG: Pm-3m
DOS(E_F) in states/eV/cell: 6.86

Cell: 4.1197 4.1197 4.1197 Å, 90.00 90.00 90.00°
Closest atoms and distances in Å follow each position.
Fractional coordinates of all 5 atoms:
Ru1 0.0000 0.5000 0.0000  2 F 2.06
Ru2 0.0000 0.0000 0.5000  2 F 2.06
Ru3 0.5000 0.0000 0.0000  2 F 2.06
Os1 0.5000 0.5000 0.5000  12 Ru 2.91
F1 0.0000 0.0000 0.0000  6 Ru 2.06

[3]
Below is an optimized crystal structure of BaIr2Cl, with properties calculated at the PBE level.

## Properties
Calculated total energy in eV per cell: -20.9
Formation energy from raw total energies in eV per atom: 0.14
ΔE to the lowest computed polymorph in eV per atom: 0.465
SG: P4/mmm
DOS(E_F) in states/eV/cell: 3.68

Cell: 3.9015 3.9040 6.3492 Å, 90.00 90.00 90.00°
Closest atoms and distances in Å follow each position.
Fractional coordinates of all 4 atoms:
Ir1 0.0000 0.0000 0.0000  4 Ir 2.76
Ir2 0.5000 0.5000 0.0000  4 Ir 2.76
Ba1 0.5000 0.0000 0.5000  4 Cl 2.76
Cl1 0.0000 0.5000 0.5000  4 Ba 2.76

[4]
Below is an optimized crystal structure of PmLu3Pt, with properties calculated at the PBE level.

## Properties
Calculated total energy in eV per cell: -26.5
SG: Pm-3m
DOS(E_F) in states/eV/cell: 6.13

Cell: 5.3785 5.3785 5.3785 Å, 90.00 90.00 90.00°
Closest atoms and distances in Å follow each position.
Fractional coordinates of all 5 atoms:
Lu1 0.0000 0.5000 0.0000  2 Pt 2.69
Lu2 0.0000 0.0000 0.5000  2 Pt 2.69
Lu3 0.5000 0.0000 0.0000  2 Pt 2.69
Pt1 0.0000 0.0000 0.0000  6 Lu 2.69
Pm1 0.5000 0.5000 0.5000  12 Lu 3.80

[5]
Below is an optimized crystal structure of YGa3Ni2, with properties calculated at the PBE level.

## Properties
Calculated total energy in eV per cell: -91.1
SG: C2/m
DOS(E_F) in states/eV/cell: 9.15

Cell: 3.9594 8.2663 9.5517 Å, 104.01 90.00 103.86°
Closest atoms and distances in Å follow each position.
Fractional coordinates of all 18 atoms:
Y1 0.1475 0.2951 0.6956  9 Ga 3.03-3.31, 6 Ni 3.09-3.33
Y2 0.8525 0.7049 0.3044  9 Ga 3.03-3.31, 6 Ni 3.09-3.33
Y3 0.0000 0.0000 0.0000  6 Ni 3.01-3.26, 10 Ga 3.21-3.25
Ga1 0.0534 0.1069 0.3517  4 Ni 2.37-2.47
Ga2 0.9466 0.8931 0.6483  4 Ni 2.37-2.47
Ga3 0.2240 0.4480 0.3761  3 Ni 2.39-2.55
Ga4 0.7760 0.5520 0.6239  3 Ni 2.39-2.55
Ga5 0.6403 0.2805 0.1919  4 Ni 2.41-2.59, 1 Ga 2.48
Ga6 0.3597 0.7195 0.8081  4 Ni 2.41-2.59, 1 Ga 2.48
Ga7 0.5000 0.0000 0.5000  4 Ni 2.46-2.51, 4 Ga 2.70
Ga8 0.3551 0.7102 0.0656  4 Ni 2.38-2.53, 1 Ga 2.48
Ga9 0.6449 0.2898 0.9344  4 Ni 2.38-2.53, 1 Ga 2.48
Ni1 0.2100 0.4200 0.0879  5 Ga 2.39-2.59
Ni2 0.7900 0.5800 0.9121  5 Ga 2.39-2.59
Ni3 0.4922 0.9845 0.2339  5 Ga 2.37-2.51
Ni4 0.5078 0.0155 0.7661  5 Ga 2.37-2.51
Ni5 0.3583 0.7166 0.5551  7 Ga 2.39-2.55
Ni6 0.6417 0.2834 0.4449  7 Ga 2.39-2.55

[6]
Below is an optimized crystal structure of Er7AuSe5, with properties calculated at the PBE level.

## Properties
Calculated total energy in eV per cell: -143.3
Formation energy from raw total energies in eV per atom: -1.46
SG: Cmcm
DOS(E_F) in states/eV/cell: 16.28

Cell: 3.9957 6.8854 24.1264 Å, 90.00 90.00 106.87°
Closest atoms and distances in Å follow each position.
Fractional coordinates of all 26 atoms:
Er1 0.4647 0.9293 0.2500  2 Se 2.83-2.84, 2 Au 2.93
Er2 0.5360 0.0719 0.7500  2 Se 2.83, 2 Au 2.93
Er3 0.6385 0.2770 0.0375  6 Se 2.78-2.85
Er4 0.3623 0.7245 0.9625  6 Se 2.78-2.85
Er5 0.3620 0.7240 0.5375  6 Se 2.78-2.85
Er6 0.6383 0.2766 0.4625  6 Se 2.78-2.85
Er7 0.1952 0.3903 0.1797  3 Se 2.84-2.88, 2 Au 2.97
Er8 0.8056 0.6111 0.8203  3 Se 2.84-2.88, 2 Au 2.97
Er9 0.8053 0.6106 0.6797  3 Se 2.84-2.88, 2 Au 2.97
Er10 0.1952 0.3903 0.3203  3 Se 2.84-2.88, 2 Au 2.97
Er11 0.9089 0.8177 0.1155  5 Se 2.83-3.04
Er12 0.0918 0.1837 0.8845  5 Se 2.83-3.04
Er13 0.0916 0.1833 0.6156  5 Se 2.83-3.04
Er14 0.9088 0.8176 0.3845  5 Se 2.83-3.04
Au1 0.8017 0.6035 0.2499  6 Er 2.93-2.97
Au2 0.1988 0.3977 0.7501  6 Er 2.93-2.97
Se1 0.0004 0.0007 0.0000  6 Er 2.85-3.04
Se2 0.7229 0.4459 0.9290  6 Er 2.83-2.85
Se3 0.2778 0.5557 0.0709  6 Er 2.83-2.85
Se4 0.5526 0.1052 0.3572  6 Er 2.78-2.88
Se5 0.4478 0.8956 0.6428  6 Er 2.78-2.88
Se6 0.0002 0.0004 0.5000  6 Er 2.85-3.04
Se7 0.2777 0.5553 0.4291  6 Er 2.83-2.85
Se8 0.7227 0.4453 0.5710  6 Er 2.83-2.85
Se9 0.4481 0.8961 0.8572  6 Er 2.78-2.88
Se10 0.5527 0.1054 0.1428  6 Er 2.78-2.88

[7]
Below is an optimized crystal structure of Cu2IrPt, with properties calculated at the PBE level.

## Properties
Calculated total energy in eV per cell: -22.3
ΔE to the lowest computed polymorph in eV per atom: 0.238
SG: F-43m
DOS(E_F) in states/eV/cell: 6.21

Cell: 4.2924 4.2924 4.2924 Å, 60.00 60.00 60.00°
Closest atoms and distances in Å follow each position.
Fractional coordinates of all 4 atoms:
Cu1 0.0000 0.0000 0.0000  4 Cu 2.63, 4 Pt 2.63
Cu2 0.2500 0.2500 0.2500  4 Ir 2.63, 4 Cu 2.63
Ir1 0.5000 0.5000 0.5000  4 Pt 2.63, 4 Cu 2.63
Pt1 0.7500 0.7500 0.7500  4 Cu 2.63, 4 Ir 2.63

[8]
Below is an optimized crystal structure of SrAcAgTe3, with properties calculated at the PBE level.

## Properties
Calculated total energy in eV per cell: -51.3
Formation energy from raw total energies in eV per atom: -1.26
SG: P2_1/m

Cell: 4.5900 9.5387 10.1548 Å, 101.50 90.00 90.00°
Closest atoms and distances in Å follow each position.
Fractional coordinates of all 12 atoms:
Sr1 0.2500 0.1791 0.2369  7 Te 3.43-3.71, 1 Ag 3.76
Sr2 0.7500 0.8209 0.7631  7 Te 3.43-3.71, 1 Ag 3.76
Ac1 0.2500 0.6736 0.1752  6 Te 3.28-3.38
Ac2 0.7500 0.3264 0.8248  6 Te 3.28-3.38
Ag1 0.2500 0.0815 0.5774  4 Te 2.91-2.94, 2 Ag 3.03
Ag2 0.7500 0.9185 0.4226  4 Te 2.91-2.94, 2 Ag 3.03
Te1 0.7500 0.9124 0.1354  1 Ag 2.91
Te2 0.2500 0.0876 0.8646  1 Ag 2.91
Te3 0.2500 0.7671 0.5037  3 Ag 2.92-2.94
Te4 0.7500 0.2329 0.4963  3 Ag 2.92-2.94
Te5 0.7500 0.4191 0.1639  3 Ac 3.33-3.38, 2 Sr 3.43
Te6 0.2500 0.5809 0.8361  3 Ac 3.33-3.38, 2 Sr 3.43

[9]
Below is an optimized crystal structure of ScMnInSe2, with properties calculated at the PBE level.

## Properties
Calculated total energy in eV per cell: -25.5
Formation energy from raw total energies in eV per atom: -0.05
SG: P4/mmm
DOS(E_F) in states/eV/cell: 3.59

Cell: 5.1733 5.3426 5.1733 Å, 90.00 90.00 90.00°
Closest atoms and distances in Å follow each position.
Fractional coordinates of all 5 atoms:
Sc1 0.0000 0.0000 0.0000  4 Se 2.59, 2 Mn 2.67
Mn1 0.0000 0.5000 0.0000  2 Sc 2.67
Se1 0.0000 0.0000 0.5000  2 Sc 2.59
Se2 0.5000 0.0000 0.0000  2 Sc 2.59
In1 0.5000 0.5000 0.5000  4 Mn 3.66, 8 Se 3.72

[10]
Below is an optimized crystal structure of Mn2FeCuH, with properties calculated at the PBE level.

## Properties
Calculated total energy in eV per cell: -33.2
ΔE to the lowest computed polymorph in eV per atom: 0.050
SG: P4/mmm
DOS(E_F) in states/eV/cell: 4.72

Cell: 3.6536 3.6536 3.6315 Å, 90.00 90.00 90.00°
Closest atoms and distances in Å follow each position.
Fractional coordinates of all 5 atoms:
H1 0.0000 0.0000 0.0000  2 Cu 1.82, 4 Mn 1.83
Mn1 0.0000 0.5000 0.0000  2 H 1.83
Mn2 0.5000 0.0000 0.0000  2 H 1.83
Fe1 0.5000 0.5000 0.5000  8 Mn 2.58, 4 Cu 2.58
Cu1 0.0000 0.0000 0.5000  2 H 1.82

[11]
Below is an optimized crystal structure of ZrIn3H, with properties calculated at the PBE level.

## Properties
Calculated total energy in eV per cell: -19.9
ΔE to the lowest computed polymorph in eV per atom: 0.000
SG: Pm-3m
DOS(E_F) in states/eV/cell: 0.00

Cell: 4.5512 4.5512 4.5512 Å, 90.00 90.00 90.00°
Closest atoms and distances in Å follow each position.
Fractional coordinates of all 5 atoms:
H1 0.0000 0.0000 0.0000  6 In 2.28
Zr1 0.5000 0.5000 0.5000  12 In 3.22
In1 0.0000 0.5000 0.0000  2 H 2.28
In2 0.0000 0.0000 0.5000  2 H 2.28
In3 0.5000 0.0000 0.0000  2 H 2.28

[12]
Below is an optimized crystal structure of ScTl2Hg, with properties calculated at the PBE level.

## Properties
Calculated total energy in eV per cell: -11.6
SG: C2/m
DOS(E_F) in states/eV/cell: 3.55

Cell: 5.4336 6.3041 3.5006 Å, 74.65 88.28 115.00°
Closest atoms and distances in Å follow each position.
Fractional coordinates of all 4 atoms:
Hg1 0.0000 0.5000 0.5000  4 Tl 3.17, 4 Sc 3.19-3.28, 2 Hg 3.50
Sc1 0.5000 0.5000 0.0000  4 Tl 3.17, 4 Hg 3.19-3.28, 2 Sc 3.50
Tl1 0.0000 0.0000 0.0000  2 Hg 3.17, 2 Sc 3.17, 6 Tl 3.19-3.50
Tl2 0.5000 0.0000 0.5000  2 Sc 3.17, 2 Hg 3.17, 6 Tl 3.19-3.50